This record from the Alexandria database describes CaCr2Os after structural relaxation. The functional is GGA-PBE.

Summary:
energy of formation from the pure elements = 545 meV per atom
magnetization = 0.0 μB/cell
E above lowest polymorph = 0.1199 eV/atom
electronic total energy = -7.57 eV/atom
D(E_F) = 1.30 states/eV/atom

abc: 2.779 4.227 5.929
angles: 90.00 99.54 90.00
Space group P2/m (No. 10)
One atom of each set of equivalent atoms:
Ca 0.000 0.000 0.000 x1
Cr 0.166 0.500 0.659 x2
Os 0.500 0.000 0.500 x1